1.
# SrMgGe2Pd5 | the Alexandria database | PBE | optimized geometry
# * crystal system: tetragonal
# * E: -4.753 eV/atom
# * space group: No. 123
data_SrMgGe2Pd5
_chemical_formula_sum 'Sr1 Mg1 Ge2 Pd5'
_cell_length_a 4.7775
_cell_length_b 4.7775
_cell_length_c 7.4858
_cell_angle_alpha 90.00
_cell_angle_beta 90.00
_cell_angle_gamma 90.00
_symmetry_space_group_name_H-M 'P 1'
_symmetry_Int_Tables_number 1
_symmetry_space_group_name_Hall 'P 1'
loop_
_atom_site_label
_atom_site_type_symbol
_atom_site_fract_x
_atom_site_fract_y
_atom_site_fract_z
_atom_site_occupancy
Sr1 Sr 0.0000 0.0000 0.0000 1
Mg1 Mg 0.0000 0.0000 0.5000 1
Ge1 Ge 0.5000 0.5000 0.3384 1
Ge2 Ge 0.5000 0.5000 0.6616 1
Pd1 Pd 0.0000 0.5000 0.2737 1
Pd2 Pd 0.0000 0.5000 0.7263 1
Pd3 Pd 0.5000 0.0000 0.2737 1
Pd4 Pd 0.5000 0.0000 0.7263 1
Pd5 Pd 0.5000 0.5000 0.0000 1

2.
# TbMgGe2Pd5 | the Alexandria database | PBE | optimized geometry
# * crystal system: tetragonal
# * E: -5.252 eV/atom
# * space group: No. 123
data_TbMgGe2Pd5
_chemical_formula_sum 'Tb1 Mg1 Ge2 Pd5'
_cell_length_a 4.1995
_cell_length_b 4.1995
_cell_length_c 9.0779
_cell_angle_alpha 90.00
_cell_angle_beta 90.00
_cell_angle_gamma 90.00
_symmetry_space_group_name_H-M 'P 1'
_symmetry_Int_Tables_number 1
_symmetry_space_group_name_Hall 'P 1'
loop_
_atom_site_label
_atom_site_type_symbol
_atom_site_fract_x
_atom_site_fract_y
_atom_site_fract_z
_atom_site_occupancy
Tb1 Tb 0.0000 0.0000 0.0000 1
Mg1 Mg 0.0000 0.0000 0.5000 1
Ge1 Ge 0.5000 0.5000 0.3688 1
Ge2 Ge 0.5000 0.5000 0.6312 1
Pd1 Pd 0.0000 0.5000 0.2291 1
Pd2 Pd 0.0000 0.5000 0.7709 1
Pd3 Pd 0.5000 0.0000 0.2291 1
Pd4 Pd 0.5000 0.0000 0.7709 1
Pd5 Pd 0.5000 0.5000 0.0000 1

3.
# Th2MgGe4Pd3 | the Alexandria database | PBE | optimized geometry
# * crystal system: tetragonal
# * E: -5.787 eV/atom
# * space group: No. 115
data_Th2MgGe4Pd3
_chemical_formula_sum 'Th2 Mg1 Ge4 Pd3'
_cell_length_a 4.2069
_cell_length_b 4.2069
_cell_length_c 11.1445
_cell_angle_alpha 90.00
_cell_angle_beta 90.00
_cell_angle_gamma 90.00
_symmetry_space_group_name_H-M 'P 1'
_symmetry_Int_Tables_number 1
_symmetry_space_group_name_Hall 'P 1'
loop_
_atom_site_label
_atom_site_type_symbol
_atom_site_fract_x
_atom_site_fract_y
_atom_site_fract_z
_atom_site_occupancy
Th1 Th 0.0000 0.5000 0.2447 1
Th2 Th 0.5000 0.0000 0.7553 1
Mg1 Mg 0.0000 0.0000 0.5000 1
Ge1 Ge 0.0000 0.0000 0.0000 1
Ge2 Ge 0.0000 0.5000 0.6441 1
Ge3 Ge 0.5000 0.0000 0.3559 1
Ge4 Ge 0.5000 0.5000 0.0000 1
Pd1 Pd 0.0000 0.5000 0.8661 1
Pd2 Pd 0.5000 0.0000 0.1339 1
Pd3 Pd 0.5000 0.5000 0.5000 1

4.
# ThMgGe2Pd2 | the Alexandria database | PBE | optimized geometry
# * crystal system: trigonal
# * E: -5.526 eV/atom
# * space group: No. 164
data_ThMgGe2Pd2
_chemical_formula_sum 'Th1 Mg1 Ge2 Pd2'
_cell_length_a 4.3667
_cell_length_b 4.3667
_cell_length_c 6.9602
_cell_angle_alpha 90.00
_cell_angle_beta 90.00
_cell_angle_gamma 120.00
_symmetry_space_group_name_H-M 'P 1'
_symmetry_Int_Tables_number 1
_symmetry_space_group_name_Hall 'P 1'
loop_
_atom_site_label
_atom_site_type_symbol
_atom_site_fract_x
_atom_site_fract_y
_atom_site_fract_z
_atom_site_occupancy
Th1 Th 0.0000 0.0000 0.0000 1
Mg1 Mg 0.0000 0.0000 0.5000 1
Ge1 Ge 0.3333 0.6667 0.2656 1
Ge2 Ge 0.6667 0.3333 0.7344 1
Pd1 Pd 0.3333 0.6667 0.6750 1
Pd2 Pd 0.6667 0.3333 0.3250 1